Entry 1:
An optimized crystal structure of MnP. Source: Alexandria via LeMat-Bulk, functional GGA-PBE.

**Total energy**: -14.494 eV/cell
**Mass density**: 4.0 g/cm3
**SG**: F-43m (216)

abc: 3.698 3.698 3.698
angles: 60.00 60.00 60.00
Atoms (fractional coordinates):
Mn1 0.000 0.000 0.000
P1 0.250 0.250 0.250

***

Entry 2:
An optimized crystal structure of Mn8P. Source: Alexandria via LeMat-Bulk, functional GGA-PBE.

**Total energy**: -79.228 eV/cell
**Mass density**: 8.1 g/cm3
**SG**: I4/mmm (139)

abc: 5.540 5.540 5.540
angles: 95.74 95.74 143.13
Atoms (fractional coordinates):
Mn1 0.000 0.340 0.340
Mn2 0.000 0.660 0.660
Mn3 0.330 0.330 0.659
Mn4 0.330 0.670 0.000
Mn5 0.340 0.000 0.340
Mn6 0.660 0.000 0.660
Mn7 0.670 0.330 0.000
Mn8 0.670 0.670 0.341
P1 0.000 0.000 0.000